## Ce2AlPt6 (PBE)

Data for a relaxed structure of Ce2AlPt6.

POSCAR file:
```
Ce2AlPt6
1.0
4.867 -2.839 0.000
4.867 2.839 0.000
-1.523 0.000 6.115
Ce Al Pt
2 1 6
Cartesian
0.866 0.000 2.134 Ce
7.345 0.000 3.981 Ce
4.105 0.000 3.057 Al
3.299 1.453 1.155 Pt
2.439 0.000 4.907 Pt
4.912 1.453 4.960 Pt
3.299 -1.453 1.155 Pt
5.772 0.000 1.208 Pt
4.912 -1.453 4.960 Pt
```

The calculation puts the energy relative to the lowest polymorph listed for this composition at 18.7 meV per atom. The calculated total energy comes out at -6.783 eV/atom. As for the density of states at the Fermi level: 1.320 states/eV/atom. The value obtained for the formation energy is -887 kJ/mol of formula units.